Compound: LiEuMo2O8
Source: the Alexandria database
Functional: PBE+U
Structure: optimized geometry

Final energy ... -7.460 eV/atom
Space group ... P2/c, No. 13

Cell lengths 6.158, 5.043, 11.153 Å; angles 66.26, 90.00, 90.00 degrees
Element x y z (fractional)
1 Li 0.231 0.000 0.250
2 Li 0.769 0.000 0.750
3 Eu 0.684 0.500 0.250
4 Eu 0.316 0.500 0.750
5 Mo 0.175 0.732 0.022
6 Mo 0.825 0.268 0.978
7 Mo 0.175 0.268 0.478
8 Mo 0.825 0.732 0.522
9 O 0.104 0.852 0.594
10 O 0.896 0.148 0.406
11 O 0.104 0.148 0.906
12 O 0.896 0.852 0.094
13 O 0.644 0.715 0.398
14 O 0.356 0.285 0.602
15 O 0.644 0.285 0.102
16 O 0.356 0.715 0.898
17 O 0.088 0.647 0.387
18 O 0.912 0.353 0.613
19 O 0.088 0.353 0.113
20 O 0.912 0.647 0.887
21 O 0.359 0.780 0.137
22 O 0.641 0.220 0.863
23 O 0.359 0.220 0.363
24 O 0.641 0.780 0.637